(1)
Here is a geometry-optimized RbDySn2 structure from Alexandria. Energies are from PBE.

Cell: 4.099 4.099 8.178 Å, 90.00 90.00 90.00°
Space group P4/mmm (No. 123)
Unique sites:
Rb 0.000 0.000 0.000 [1 per cell]
Dy 0.000 0.000 0.500 [1 per cell]
Sn 0.500 0.500 0.321 [2 per cell]

Computed properties:
* density of states at the Fermi level: 0.381 states/eV/atom
* total magnetization: 0.000 μB per formula unit
* ΔE_f: -0.41 eV/atom

=====

(2)
Here is a geometry-optimized PrEr4In2 structure from Alexandria. Energies are from PBE.

Cell: 9.199 9.199 5.095 Å, 90.00 90.00 90.00°
Space group P4_2/mnm (No. 136)
Unique sites:
Pr 0.000 0.000 0.000 [2 per cell]
Er 0.105 0.356 0.500 [8 per cell]
In 0.202 0.798 0.500 [4 per cell]

Computed properties:
* density of states at the Fermi level: 1.340 states/eV/atom
* total magnetization: 0.000 μB per formula unit
* ΔE_f: -0.18 eV/atom